{
  "formula": "CePrNd2",
  "functional": "PBE-GGA",
  "state": "relaxed",
  "e_above_lowest_polymorph_mev_per_atom": 140,
  "e_form_ev_per_atom": 0.203,
  "cell": [[1.759, 1.016, 12.714], [-1.759, 1.016, 12.714], [0.000, -2.032, 12.714]],
  "species": ["Ce", "Pr", "Nd", "Nd"],
  "frac_coords": [[0.000, 0.000, 0.000], [0.500, 0.500, 0.500], [0.087, 0.087, 0.087], [0.913, 0.913, 0.913]]
}



{
  "formula": "NdYU2As4",
  "functional": "PBE-GGA",
  "state": "relaxed",
  "e_form_ev_per_atom": -1.131,
  "cell": [[7.112, 0.000, 0.000], [0.000, 4.105, 0.000], [-2.369, 0.000, 6.875]],
  "species": ["Nd", "Y", "U", "U", "As", "As", "As", "As"],
  "frac_coords": [[0.000, 0.000, 0.000], [0.500, 0.500, 0.000], [0.000, 0.500, 0.500], [0.500, 0.000, 0.500], [0.252, 0.000, 0.744], [0.257, 0.500, 0.259], [0.743, 0.500, 0.741], [0.748, 0.000, 0.256]]
}



{
  "formula": "YHo2Er3Tm6",
  "functional": "PBE-GGA",
  "state": "relaxed",
  "e_form_ev_per_atom": 0.026,
  "cell": [[3.037, -5.253, 0.000], [3.037, 5.253, 0.000], [-2.019, 0.000, 11.441]],
  "species": ["Y", "Ho", "Ho", "Er", "Er", "Er", "Tm", "Tm", "Tm", "Tm", "Tm", "Tm"],
  "frac_coords": [[0.000, 0.000, 0.000], [0.333, 0.667, 0.000], [0.667, 0.333, 0.000], [0.167, 0.833, 0.500], [0.500, 0.500, 0.500], [0.833, 0.167, 0.500], [0.084, 0.418, 0.251], [0.250, 0.250, 0.749], [0.418, 0.084, 0.251], [0.582, 0.916, 0.749], [0.750, 0.750, 0.251], [0.916, 0.582, 0.749]]
}